Entry a
VASP calculation (GGA-PBE) on a relaxed LaY2Pd crystal.

Results
Density of states at the Fermi level in states/eV/atom: 1.3624
V in Å³/cell: 121.6
Space group: R-3m (166)

Cell lengths 10.0616, 10.0616, 10.0616 Å; angles 21.66, 21.66, 21.66 degrees
With the nearest neighbours (Å) after each atom.
Positions (direct):
La: 0.0000 0.0000 0.0000  6 Y 3.77, 6 La 3.78
Y: 0.2292 0.2292 0.2292  3 Pd 2.86
Y: 0.7708 0.7708 0.7708  3 Pd 2.86
Pd: 0.5000 0.5000 0.5000  6 Y 2.86

Entry b
VASP calculation (GGA-PBE) on a relaxed LaY2Pd crystal.

Results
Density of states at the Fermi level in states/eV/atom: 1.7844
V in Å³/cell: 102.2
Space group: Fm-3m (225)

Cell lengths 5.2485, 5.2485, 5.2485 Å; angles 60.00, 60.00, 60.00 degrees
With the nearest neighbours (Å) after each atom.
Positions (direct):
La: 0.0000 0.0000 0.0000  8 Y 3.21
Y: 0.2500 0.2500 0.2500  4 Pd 3.21, 4 La 3.21
Y: 0.7500 0.7500 0.7500  4 Pd 3.21, 4 La 3.21
Pd: 0.5000 0.5000 0.5000  8 Y 3.21

Entry c
VASP calculation (GGA-PBE) on a relaxed LaY2Pd crystal.

Results
Density of states at the Fermi level in states/eV/atom: 1.1847
V in Å³/cell: 470.6
Space group: Pnma (62)

Cell lengths 7.1907, 9.8910, 6.6164 Å; angles 90.00, 90.00, 90.00 degrees
With the nearest neighbours (Å) after each atom.
Positions (direct):
La: 0.0213 0.2500 0.1391  2 Pd 2.95-3.03
La: 0.4787 0.7500 0.6391  2 Pd 2.95-3.03
La: 0.5213 0.2500 0.3609  2 Pd 2.95-3.03
La: 0.9787 0.7500 0.8609  2 Pd 2.95-3.03
Y: 0.1760 0.0617 0.6714  2 Pd 2.89-2.93
Y: 0.1760 0.4383 0.6714  2 Pd 2.89-2.93
Y: 0.3240 0.5617 0.1714  2 Pd 2.89-2.93
Y: 0.3240 0.9383 0.1714  2 Pd 2.89-2.93
Y: 0.6760 0.0617 0.8286  2 Pd 2.89-2.93
Y: 0.6760 0.4383 0.8286  2 Pd 2.89-2.93
Y: 0.8240 0.5617 0.3286  2 Pd 2.89-2.93
Y: 0.8240 0.9383 0.3286  2 Pd 2.89-2.93
Pd: 0.1172 0.7500 0.4281  4 Y 2.89-2.93, 2 La 2.95-3.03
Pd: 0.3828 0.2500 0.9281  4 Y 2.89-2.93, 2 La 2.95-3.03
Pd: 0.6172 0.7500 0.0719  4 Y 2.89-2.93, 2 La 2.95-3.03
Pd: 0.8828 0.2500 0.5719  4 Y 2.89-2.93, 2 La 2.95-3.03

It comes down to entry c, which is 15.4 kJ/mol of atoms more stable than the next structure.

Entry a
VASP calculation (GGA-PBE) on a relaxed LaY2Pd crystal.

Results
Density of states at the Fermi level in states/eV/atom: 1.0517
V in Å³/cell: 113.9
Space group: P4/mmm (123)

Cell lengths 3.5741, 3.5741, 8.9170 Å; angles 90.00, 90.00, 90.00 degrees
With the nearest neighbours (Å) after each atom.
Positions (direct):
La: 0.0000 0.0000 0.0000  4 La 3.57, 8 Y 3.76
Y: 0.5000 0.5000 0.3117  4 Pd 3.03, 1 Y 3.36
Y: 0.5000 0.5000 0.6883  4 Pd 3.03, 1 Y 3.36
Pd: 0.0000 0.0000 0.5000  8 Y 3.03

Entry b
VASP calculation (GGA-PBE) on a relaxed LaY2Pd crystal.

Results
Density of states at the Fermi level in states/eV/atom: 1.2595
V in Å³/cell: 124.9
Space group: R3m (160)

Cell lengths 9.5802, 9.5802, 9.5802 Å; angles 23.72, 23.72, 23.72 degrees
With the nearest neighbours (Å) after each atom.
Positions (direct):
La: 0.0000 0.0000 0.0000  6 Y 3.68-3.80, 6 La 3.94
Y: 0.2295 0.2295 0.2295  3 Pd 2.82
Y: 0.4424 0.4424 0.4424  3 Pd 2.84
Pd: 0.8364 0.8364 0.8364  6 Y 2.82-2.84

Entry c
VASP calculation (GGA-PBE) on a relaxed LaY2Pd crystal.

Results
Density of states at the Fermi level in states/eV/atom: 1.4125
V in Å³/cell: 231.2
Space group: Cmcm (63)

Cell lengths 6.6001, 6.6001, 9.6046 Å; angles 90.00, 90.00, 146.45 degrees
With the nearest neighbours (Å) after each atom.
Positions (direct):
La: 0.0660 0.9340 0.7500  2 Pd 3.12
La: 0.9340 0.0660 0.2500  2 Pd 3.12
Y: 0.3622 0.6378 0.5625  2 Pd 2.92
Y: 0.3622 0.6378 0.9375  2 Pd 2.92
Y: 0.6378 0.3622 0.0625  2 Pd 2.92
Y: 0.6378 0.3622 0.4375  2 Pd 2.92
Pd: 0.2387 0.7613 0.2500  4 Y 2.92, 2 La 3.12
Pd: 0.7613 0.2387 0.7500  4 Y 2.92, 2 La 3.12

It comes down to entry c, which is 1.5 kJ/mol of atoms more stable than the next structure.

Entry a
VASP calculation (GGA-PBE) on a relaxed La3Zn3Pd8 crystal.

Results
Density of states at the Fermi level in states/eV/atom: 0.4498
V in Å³/cell: 276.4
Space group: Immm (71)

Cell lengths 8.4550, 8.4550, 8.4550 Å; angles 150.09, 111.12, 76.87 degrees
With the nearest neighbours (Å) after each atom.
Positions (direct):
La: 0.0000 0.0000 0.0000  4 Pd 3.13, 4 Zn 3.36
La: 0.2993 0.2993 0.0000  10 Pd 3.03-3.39
La: 0.7007 0.7007 0.0000  10 Pd 3.03-3.39
Zn: 0.2674 0.5000 0.7674  6 Pd 2.64-2.66
Zn: 0.5000 0.0000 0.5000  4 Pd 2.49
Zn: 0.7326 0.5000 0.2326  6 Pd 2.64-2.66
Pd: 0.0339 0.6805 0.3534  1 Zn 2.66, 4 Pd 2.74-2.83
Pd: 0.1790 0.8895 0.2895  3 Zn 2.49-2.64, 2 Pd 2.74
Pd: 0.3271 0.6805 0.6466  1 Zn 2.66, 4 Pd 2.74-2.83
Pd: 0.4001 0.1105 0.2895  3 Zn 2.49-2.64, 2 Pd 2.74
Pd: 0.5999 0.8895 0.7105  3 Zn 2.49-2.64, 2 Pd 2.74
Pd: 0.6729 0.3195 0.3534  1 Zn 2.66, 4 Pd 2.74-2.83
Pd: 0.8210 0.1105 0.7105  3 Zn 2.49-2.64, 2 Pd 2.74
Pd: 0.9661 0.3195 0.6466  1 Zn 2.66, 4 Pd 2.74-2.83

Entry b
VASP calculation (GGA-PBE) on a relaxed La3Zn3Pd8 crystal.

Results
Density of states at the Fermi level in states/eV/atom: 0.4883
V in Å³/cell: 272.2
Space group: C2/m (12)

Cell lengths 8.2676, 8.2676, 9.1709 Å; angles 122.41, 122.41, 31.52 degrees
With the nearest neighbours (Å) after each atom.
Positions (direct):
La: 0.0000 0.0000 0.0000  8 Pd 3.05-3.27
La: 0.3014 0.3014 0.3252  9 Pd 3.02-3.28, 3 Zn 3.29-3.32
La: 0.6986 0.6986 0.6748  9 Pd 3.02-3.28, 3 Zn 3.29-3.32
Zn: 0.0000 0.0000 0.5000  8 Pd 2.58-2.77
Zn: 0.3258 0.3258 0.9917  5 Pd 2.55-2.71
Zn: 0.6742 0.6742 0.0083  5 Pd 2.55-2.71
Pd: 0.1228 0.1228 0.4005  1 Zn 2.58, 4 Pd 2.75-2.82
Pd: 0.1260 0.1260 0.8410  4 Zn 2.58-2.67, 2 Pd 2.80
Pd: 0.3400 0.3400 0.7280  1 Zn 2.55, 2 Pd 2.75
Pd: 0.4967 0.4967 0.3195  3 Zn 2.71-2.77, 5 Pd 2.80-2.86
Pd: 0.5033 0.5033 0.6805  3 Zn 2.71-2.77, 5 Pd 2.80-2.86
Pd: 0.6600 0.6600 0.2720  1 Zn 2.55, 2 Pd 2.75
Pd: 0.8740 0.8740 0.1590  4 Zn 2.58-2.67, 2 Pd 2.80
Pd: 0.8772 0.8772 0.5995  1 Zn 2.58, 4 Pd 2.75-2.82

It comes down to entry b, which is 4.5 kJ/mol of atoms more stable than the next structure.

Entry a
VASP calculation (GGA-PBE) on a relaxed LaZnPd6 crystal.

Results
Density of states at the Fermi level in states/eV/atom: 0.8483
V in Å³/cell: 172.2
Space group: R-3m (166)

Cell lengths 7.2797, 7.2797, 7.2797 Å; angles 44.49, 44.49, 44.49 degrees
With the nearest neighbours (Å) after each atom.
Positions (direct):
La: 0.0000 0.0000 0.0000  12 Pd 3.07
Zn: 0.5000 0.5000 0.5000  6 Pd 2.51
Pd: 0.0626 0.5726 0.5726  1 Zn 2.51, 3 Pd 2.70-2.72
Pd: 0.4274 0.4274 0.9374  1 Zn 2.51, 3 Pd 2.70-2.72
Pd: 0.4274 0.9374 0.4274  1 Zn 2.51, 3 Pd 2.70-2.72
Pd: 0.5726 0.0626 0.5726  1 Zn 2.51, 3 Pd 2.70-2.72
Pd: 0.5726 0.5726 0.0626  1 Zn 2.51, 3 Pd 2.70-2.72
Pd: 0.9374 0.4274 0.4274  1 Zn 2.51, 3 Pd 2.70-2.72

Entry b
VASP calculation (GGA-PBE) on a relaxed LaZnPd6 crystal.

Results
Density of states at the Fermi level in states/eV/atom: 1.1191
V in Å³/cell: 136.2
Space group: P4/mmm (123)

Cell lengths 4.1901, 4.1901, 7.7568 Å; angles 90.00, 90.00, 90.00 degrees
With the nearest neighbours (Å) after each atom.
Positions (direct):
La: 0.0000 0.0000 0.0000  12 Pd 2.96-2.99
Zn: 0.0000 0.0000 0.5000  12 Pd 2.73-2.96
Pd: 0.0000 0.5000 0.2746  8 Pd 2.73-2.99, 2 Zn 2.73, 2 La 2.99
Pd: 0.0000 0.5000 0.7254  8 Pd 2.73-2.99, 2 Zn 2.73, 2 La 2.99
Pd: 0.5000 0.0000 0.2746  8 Pd 2.73-2.99, 2 Zn 2.73, 2 La 2.99
Pd: 0.5000 0.0000 0.7254  8 Pd 2.73-2.99, 2 Zn 2.73, 2 La 2.99
Pd: 0.5000 0.5000 0.0000  4 La 2.96, 8 Pd 2.99
Pd: 0.5000 0.5000 0.5000  8 Pd 2.73, 4 Zn 2.96

It comes down to entry b, which is 32.9 kJ/mol of atoms more stable than the next structure.